3
Lattice="-4.5779 -1.0739 1.2931 -2.9466 3.5059 1.6760 -3.7326 1.5574 -2.7249" Properties=species:S:1:pos:R:3 comment="TlInAg (PBE, relaxed)" vol_a3_per_atom=27.3 e_above_lowest_polymorph_ev_per_atom=0.000 pbc="T T T"
Ag -2.8142 0.9973 0.0611
In 0.0000 0.0000 0.0000
Tl -8.4428 2.9920 0.1832